A plane-wave DFT calculation with PBE was carried out for Mn4AgPt5 after structural relaxation.

The structure in extended XYZ format:
```
10
Lattice="3.215 0.000 0.000 0.000 3.215 0.000 0.000 0.000 14.975" Properties=species:S:1:pos:R:3 pbc="T T T"
Mn 0.000 0.000 1.486
Mn 0.000 0.000 4.468
Mn 0.000 0.000 10.508
Mn 0.000 0.000 13.490
Ag 0.000 0.000 7.488
Pt 1.608 1.608 0.000
Pt 1.608 1.608 2.933
Pt 1.608 1.608 5.797
Pt 1.608 1.608 9.178
Pt 1.608 1.608 12.043
```

Values from the calculation:
E_form ... -0.280 eV per atom
D(E_F) ... 4.6 states/eV per cell
Total moment ... 17.598 μB per cell
Energy ... -7.25 eV per atom